(1)
# Pm2Ni5B

An optimized crystal structure of Pm2Ni5B (PBE, Alexandria via LeMat-Bulk).

- space group = I4mm (107)
- raw total energy (eV per cell) = -47.25

Lattice parameters (Å, degrees): 5.808 5.808 5.808 80.90 125.39 125.39
Positions (direct):
Ni: 0.509 0.235 0.235
Ni: 0.000 0.235 0.726
Ni: 0.000 0.726 0.235
Ni: 0.000 0.291 0.291
Pm: 0.500 0.228 0.728
Pm: 0.500 0.728 0.228
B: 0.000 0.053 0.053
Ni: 0.491 0.726 0.726

***

(2)
# PmNi2B2

An optimized crystal structure of PmNi2B2 (PBE, Alexandria via LeMat-Bulk).

- space group = I4/mmm (139)
- raw total energy (eV per cell) = -31.54

Lattice parameters (Å, degrees): 3.555 3.555 5.624 108.38 108.38 90.07
Positions (direct):
B: 0.651 0.651 0.802
Ni: 0.250 0.750 0.000
B: 0.349 0.349 0.198
Ni: 0.750 0.250 0.000
Pm: 0.000 0.000 0.500

***

(3)
# PmNi3B

An optimized crystal structure of PmNi3B (PBE, Alexandria via LeMat-Bulk).

- ΔE to the lowest computed polymorph (eV/atom) = 0.000
- space group = Pm-3m (221)
- raw total energy (eV per cell) = -30.31

Lattice parameters (Å, degrees): 4.073 4.073 4.073 90.00 90.00 90.00
Positions (direct):
Ni: 0.000 0.500 0.000
Ni: 0.000 0.000 0.500
Ni: 0.500 0.000 0.000
B: 0.000 0.000 0.000
Pm: 0.500 0.500 0.500

***

(4)
# Pm2NiB10

An optimized crystal structure of Pm2NiB10 (PBE, Alexandria via LeMat-Bulk).

- space group = Pbam (55)
- raw total energy (eV per cell) = -177.94

Lattice parameters (Å, degrees): 4.183 5.619 11.191 90.00 90.00 90.00
Positions (direct):
Pm: 0.500 0.689 0.137
B: 0.000 0.657 0.802
B: 0.700 0.799 0.886
B: 0.000 0.467 0.688
B: 0.000 0.343 0.198
B: 0.000 0.374 0.041
Ni: 0.000 0.500 0.500
Pm: 0.500 0.311 0.863
Pm: 0.500 0.811 0.637
B: 0.300 0.201 0.114
B: 0.000 0.843 0.302
B: 0.000 0.126 0.541
B: 0.000 0.533 0.312
Ni: 0.000 0.000 0.000
B: 0.700 0.701 0.386
Pm: 0.500 0.189 0.363
B: 0.300 0.701 0.386
B: 0.700 0.201 0.114
B: 0.000 0.626 0.959
B: 0.700 0.299 0.614
B: 0.000 0.033 0.188
B: 0.300 0.299 0.614
B: 0.000 0.967 0.812
B: 0.000 0.874 0.459
B: 0.000 0.157 0.698
B: 0.300 0.799 0.886

***

(5)
# PmNiB4

An optimized crystal structure of PmNiB4 (PBE, Alexandria via LeMat-Bulk).

- space group = Cmmm (65)
- raw total energy (eV per cell) = -79.82

Lattice parameters (Å, degrees): 3.512 5.989 5.989 104.00 90.00 90.00
Positions (direct):
Ni: 0.000 0.175 0.175
B: 0.500 0.931 0.624
B: 0.500 0.090 0.910
B: 0.500 0.069 0.376
B: 0.500 0.910 0.090
B: 0.500 0.624 0.931
B: 0.500 0.631 0.631
Pm: 0.000 0.700 0.300
Ni: 0.000 0.825 0.825
B: 0.500 0.369 0.369
B: 0.500 0.376 0.069
Pm: 0.000 0.300 0.700

***

(6)
# Pm2Ni4B

An optimized crystal structure of Pm2Ni4B (PBE, Alexandria via LeMat-Bulk).

- ΔE to the lowest computed polymorph (eV/atom) = 0.000
- space group = I4/mmm (139)
- raw total energy (eV per cell) = -41.37

Lattice parameters (Å, degrees): 3.938 3.938 8.021 75.79 75.79 90.00
Positions (direct):
Pm: 0.659 0.659 0.682
Ni: 0.872 0.872 0.257
Ni: 0.000 0.500 0.000
Ni: 0.128 0.128 0.743
Ni: 0.500 0.000 0.000
Pm: 0.341 0.341 0.318
B: 0.000 0.000 0.000